The following is a PBE with a Hubbard U calculation of Mn3TcCl2O6 after structural relaxation, from the Alexandria database.

Cell lengths 5.992, 5.992, 5.532 Å; angles 100.69, 100.69, 61.66 degrees
Fractional positions:
Mn (0.000, 0.000, 0.000)
Mn (0.000, 0.500, 0.500)
Mn (0.500, 0.000, 0.500)
Tc (0.500, 0.500, 0.500)
Cl (0.199, 0.199, 0.825)
Cl (0.801, 0.801, 0.175)
O (0.207, 0.665, 0.691)
O (0.305, 0.305, 0.333)
O (0.335, 0.793, 0.309)
O (0.665, 0.207, 0.691)
O (0.695, 0.695, 0.667)
O (0.793, 0.335, 0.309)

Results
Uncorrected energy, eV per atom: -6.75
Density of states at the Fermi level, states/eV/f.u.: 4.8